(1)
# TbCe2HoP4

TbCe2HoP4 after structural relaxation (PBE-GGA, Alexandria via LeMat-Bulk).

The formation energy is -1.5591 eV/atom. For the total magnetization, the calculation gives 1.00 Bohr magnetons per cell. As for the density of states at the Fermi level: 9.28 states/eV/f.u. The total DFT energy (no corrections) comes out at -6.898 eV/atom.

The structure belongs to space group P2/m (No. 10); the cell edges are 6.9977, 4.0495 and 7.0142 Å and the angles 90.00°, 109.52° and 90.00°. The inequivalent atoms are Tb at (0.0000, 0.0000, 0.0000), Ce at (0.5000, 0.0000, 0.5000), Ce at (0.5000, 0.5000, 0.0000), Ho at (0.0000, 0.5000, 0.5000), P at (0.2465, 0.0000, 0.7476) and P at (0.2475, 0.5000, 0.2504).

***

(2)
# TbCe3Ho2P6

TbCe3Ho2P6 after structural relaxation (PBE-GGA, Alexandria via LeMat-Bulk).

The formation energy is -1.5585 eV/atom. For the total magnetization, the calculation gives 2.97 Bohr magnetons per cell. As for the density of states at the Fermi level: 14.02 states/eV/f.u. The total DFT energy (no corrections) comes out at -6.896 eV/atom.

The structure belongs to space group C2/m (No. 12); the cell edges are 7.0074, 12.1392 and 6.9918 Å and the angles 90.00°, 109.52° and 90.00°. The inequivalent atoms are Tb at (0.0000, 0.0000, 0.0000), Ce at (0.0000, 0.1664, 0.5000), Ce at (0.0000, 0.5000, 0.5000), Ho at (0.0000, 0.3333, 0.0000), P at (0.2473, 0.5000, 0.2463) and P at (0.2496, 0.1674, 0.2466).

***

(3)
# Tb2CeHo3P6

Tb2CeHo3P6 after structural relaxation (PBE-GGA, Alexandria via LeMat-Bulk).

The formation energy is -1.6015 eV/atom. For the total magnetization, the calculation gives 0.56 Bohr magnetons per cell. As for the density of states at the Fermi level: 4.90 states/eV/f.u. The total DFT energy (no corrections) comes out at -6.717 eV/atom.

The structure belongs to space group C2/m (No. 12); the cell edges are 6.9527, 12.0396 and 6.9505 Å and the angles 90.00°, 109.48° and 90.00°. The inequivalent atoms are Tb at (0.0000, 0.1665, 0.0000), Ce at (0.0000, 0.5000, 0.0000), Ho at (0.0000, 0.0000, 0.5000), Ho at (0.0000, 0.3332, 0.5000), P at (0.2484, 0.5000, 0.7484) and P at (0.2496, 0.1662, 0.7473).

***

(4)
# TbCeHo2P4

TbCeHo2P4 after structural relaxation (PBE-GGA, Alexandria via LeMat-Bulk).

The formation energy is -1.5887 eV/atom. For the total magnetization, the calculation gives 0.40 Bohr magnetons per cell. As for the density of states at the Fermi level: 5.21 states/eV/f.u. The total DFT energy (no corrections) comes out at -6.759 eV/atom.

The structure belongs to space group P2/m (No. 10); the cell edges are 6.9548, 4.0222 and 6.9602 Å and the angles 90.00°, 109.42° and 90.00°. The inequivalent atoms are Tb at (0.0000, 0.0000, 0.0000), Ce at (0.0000, 0.5000, 0.5000), Ho at (0.5000, 0.0000, 0.5000), Ho at (0.5000, 0.5000, 0.0000), P at (0.2522, 0.5000, 0.2512) and P at (0.2534, 0.0000, 0.7517).